! Ac2Dy6Y | the Alexandria database | PBE-GGA | optimized geometry; values from VASP
&SYSTEM
  ibrav = 0, nat = 9, ntyp = 3
/
ATOMIC_SPECIES
Ac 227.00 Ac.upf
Dy 162.50 Dy.upf
Y 88.91 Y.upf
ATOMIC_POSITIONS angstrom
Ac 1.8215 5.4712 4.1805
Ac 1.8210 1.9285 5.1041
Dy 0.0004 3.0493 1.8772
Dy -0.0001 -0.7414 6.7062
Dy 3.6421 4.3504 7.4074
Dy 1.8209 1.5166 8.7569
Dy 3.6426 8.1411 2.5784
Dy 1.8216 5.8831 0.5277
Y 0.0000 0.0000 0.0000
CELL_PARAMETERS angstrom
3.6425 0.0001 -0.0001
0.0007 8.8310 -0.6675
-0.0007 -1.4314 9.9521
! Mass density: 7.96 g cm⁻³
! Final energy: -4.5662 eV per atom
! SG: P2/m (10)
! ΔE_f: 0.1330 eV per atom

---

! AcDy3Y7 | the Alexandria database | PBE-GGA | optimized geometry; values from VASP
&SYSTEM
  ibrav = 0, nat = 11, ntyp = 3
/
ATOMIC_SPECIES
Ac 227.00 Ac.upf
Dy 162.50 Dy.upf
Y 88.91 Y.upf
ATOMIC_POSITIONS angstrom
Ac -0.8089 -4.4906 2.3220
Dy -2.5031 0.6842 1.8974
Dy 2.3222 -3.1290 3.0995
Dy 0.8853 -9.6655 2.7467
Y -1.9917 -7.7592 3.7064
Y -1.0895 -7.6240 0.4887
Y -1.5890 -4.8981 -1.4281
Y -0.0289 -4.0832 6.0722
Y -3.1312 -1.3616 -0.7775
Y -0.5284 -1.3573 4.1554
Y 0.3738 -1.2220 0.9376
CELL_PARAMETERS angstrom
-4.0019 -5.4058 -5.9559
4.6445 -6.2581 6.1990
-2.2604 2.6826 4.4009
! Mass density: 5.95 g cm⁻³
! Final energy: -5.5976 eV per atom
! SG: P2/m (10)
! ΔE_f: 0.1446 eV per atom

---

! Ac8Dy5Y | the Alexandria database | PBE-GGA | optimized geometry; values from VASP
&SYSTEM
  ibrav = 0, nat = 14, ntyp = 3
/
ATOMIC_SPECIES
Ac 227.00 Ac.upf
Dy 162.50 Dy.upf
Y 88.91 Y.upf
ATOMIC_POSITIONS angstrom
Ac -0.5917 0.4237 -5.8700
Ac -8.1004 2.1613 2.2080
Ac -5.2965 2.1734 -0.5179
Ac -6.9559 -1.1369 0.2888
Ac -3.3583 0.4927 -3.1020
Ac -6.3065 -2.9607 -5.3347
Ac -3.0364 -0.9666 0.4042
Ac -2.4033 -2.7987 -5.0488
Dy -6.3556 5.4381 1.2699
Dy -5.3883 3.4361 -4.3880
Dy -7.1951 0.1941 -3.5343
Dy -4.5462 0.2412 -6.2324
Dy -4.8050 -4.2365 1.2310
Y -5.0891 -2.7617 -2.1691
CELL_PARAMETERS angstrom
-6.1219 6.4215 3.2721
0.4672 -0.4555 -9.1422
-3.5156 -6.4346 1.7121
! Mass density: 8.19 g cm⁻³
! Final energy: -4.3624 eV per atom
! SG: P1 (1)
! ΔE_f: 0.0906 eV per atom

---

! Ac2Dy8Y3 | the Alexandria database | PBE-GGA | optimized geometry; values from VASP
&SYSTEM
  ibrav = 0, nat = 13, ntyp = 3
/
ATOMIC_SPECIES
Ac 227.00 Ac.upf
Dy 162.50 Dy.upf
Y 88.91 Y.upf
ATOMIC_POSITIONS angstrom
Ac -4.9630 -2.9944 1.0625
Ac -13.8773 -5.7202 7.5583
Dy -11.1548 -3.4063 8.1365
Dy -7.6855 -5.3084 0.4843
Dy -3.7787 -4.1161 -2.3665
Dy -15.0615 -4.5985 10.9873
Dy -6.7787 -5.0290 3.7249
Dy -8.5380 -2.6096 2.3258
Dy -10.3023 -6.1051 6.2950
Dy -12.0616 -3.6856 4.8959
Y -0.8710 -1.7475 -1.9266
Y -9.4118 -1.4235 5.5510
Y -7.6864 -3.7963 6.9231
CELL_PARAMETERS angstrom
-1.7421 -3.4949 -3.8533
-6.4788 -5.4571 7.8835
-10.6195 0.2373 4.5906
! Mass density: 7.22 g cm⁻³
! Final energy: -4.7170 eV per atom
! SG: C2/m (12)
! ΔE_f: 0.2389 eV per atom

---

! Ac7Dy2Y2 | the Alexandria database | PBE-GGA | optimized geometry; values from VASP
&SYSTEM
  ibrav = 0, nat = 11, ntyp = 3
/
ATOMIC_SPECIES
Ac 227.00 Ac.upf
Dy 162.50 Dy.upf
Y 88.91 Y.upf
ATOMIC_POSITIONS angstrom
Ac 2.8152 3.1520 -1.1465
Ac -1.0845 6.8936 4.9674
Ac 0.4202 7.3706 8.2193
Ac 4.3199 3.6290 2.1055
Ac 1.4866 1.8720 3.2158
Ac 0.0000 0.0000 0.0000
Ac 1.7488 8.6506 3.8570
Dy 2.3536 5.1339 5.1075
Dy 0.8818 5.3886 1.9653
Y -0.5222 0.2079 6.0962
Y 3.7576 10.3146 0.9767
CELL_PARAMETERS angstrom
5.5197 0.0299 -2.5772
0.1373 10.3032 0.4175
-2.4216 0.1894 9.2326
! Mass density: 7.55 g cm⁻³
! Final energy: -4.4317 eV per atom
! SG: P-1 (2)
! ΔE_f: 0.1948 eV per atom

---

! Ac2DyY | the Alexandria database | PBE-GGA | optimized geometry; values from VASP
&SYSTEM
  ibrav = 0, nat = 4, ntyp = 3
/
ATOMIC_SPECIES
Y 88.91 Y.upf
Ac 227.00 Ac.upf
Dy 162.50 Dy.upf
ATOMIC_POSITIONS angstrom
Y -0.6653 -7.2321 -1.1074
Ac -0.3327 -3.6160 -0.5537
Ac -0.9980 -10.8481 -1.6612
Dy 0.0000 0.0000 0.0000
CELL_PARAMETERS angstrom
-3.8566 -4.5900 -0.1988
0.8333 -4.4492 -3.9359
1.6927 -5.4249 1.9199
! Mass density: 7.68 g cm⁻³
! Final energy: -4.7349 eV per atom
! SG: Fm-3m (225)
! ΔE_f: 0.0859 eV per atom

---

! AcDy4Y5 | the Alexandria database | PBE-GGA | optimized geometry; values from VASP
&SYSTEM
  ibrav = 0, nat = 10, ntyp = 3
/
ATOMIC_SPECIES
Ac 227.00 Ac.upf
Dy 162.50 Dy.upf
Y 88.91 Y.upf
ATOMIC_POSITIONS angstrom
Ac 1.7663 -0.0002 -0.3588
Dy 2.2537 2.8937 2.0360
Dy 3.3739 3.2708 7.5560
Dy 1.1078 8.5824 5.4648
Dy -0.0125 8.2054 -0.0552
Y 0.5278 6.2441 2.5975
Y 0.4836 10.5067 2.3920
Y 2.8779 0.9694 5.1087
Y 1.6986 5.5075 -0.6883
Y 2.8337 5.2321 4.9033
CELL_PARAMETERS angstrom
3.5325 -0.0004 -0.7175
-0.1353 11.0154 -0.6591
-0.0358 0.4612 8.8774
! Mass density: 6.34 g cm⁻³
! Final energy: -5.2698 eV per atom
! SG: C2/m (12)
! ΔE_f: 0.2139 eV per atom

---

! Ac2Dy4Y5 | the Alexandria database | PBE-GGA | optimized geometry; values from VASP
&SYSTEM
  ibrav = 0, nat = 11, ntyp = 3
/
ATOMIC_SPECIES
Ac 227.00 Ac.upf
Dy 162.50 Dy.upf
Y 88.91 Y.upf
ATOMIC_POSITIONS angstrom
Ac -8.3294 5.7309 -1.2654
Ac -5.7775 -2.6781 2.2561
Dy -6.0189 0.1329 -0.3358
Dy -2.8582 -1.2017 1.0823
Dy -8.0880 2.9199 1.3265
Dy -11.2487 4.2545 -0.0915
Y -2.9933 1.9268 0.2585
Y -11.1136 1.1260 0.7323
Y -8.5066 -0.4653 2.3666
Y -0.4330 -0.4519 -1.6452
Y -5.6003 3.5182 -1.3758
CELL_PARAMETERS angstrom
-0.8660 -0.9038 -3.2904
-5.8620 -5.8998 3.1634
-7.3789 9.8565 1.1178
! Mass density: 6.74 g cm⁻³
! Final energy: -5.1765 eV per atom
! SG: C2/m (12)
! ΔE_f: 0.1822 eV per atom

---

! AcDy3Y3 | the Alexandria database | PBE-GGA | optimized geometry; values from VASP
&SYSTEM
  ibrav = 0, nat = 28, ntyp = 3
/
ATOMIC_SPECIES
Ac 227.00 Ac.upf
Dy 162.50 Dy.upf
Y 88.91 Y.upf
ATOMIC_POSITIONS angstrom
Ac 6.9352 -7.4881 -6.5283
Ac 1.5918 -1.0408 -1.4316
Ac -1.3248 -11.1039 -2.6796
Ac 8.0935 -4.6246 -8.9110
Dy 7.6500 1.1941 -2.9169
Dy 2.1399 -3.4756 -7.7212
Dy 3.7505 -2.0461 -4.3509
Dy 10.5456 -1.4167 -3.7799
Dy 1.9730 -5.2018 -2.7795
Dy 6.2651 0.5416 -6.0562
Dy 8.7979 2.7574 0.0417
Dy 5.9604 -1.3167 -1.1744
Dy 0.4103 -5.8537 -5.8332
Dy 3.5533 -3.6408 -0.0253
Dy -2.1018 -7.8526 -4.3478
Dy 3.3009 -8.4665 -6.6958
Y 7.2210 -2.2367 -4.2781
Y 0.3451 -2.6143 -4.5833
Y 5.5500 1.8378 -0.0676
Y 0.0644 -4.4608 0.1795
Y 5.6455 -2.7613 -7.3375
Y 1.1634 -8.6312 -3.9590
Y 4.1786 1.1255 -3.0371
Y 9.7101 1.4617 -5.5670
Y 5.5132 -4.5847 -2.6086
Y -0.2166 -9.1564 -7.1117
Y 9.5331 -0.4807 -0.5856
Y 4.0731 -5.2966 -5.5456
CELL_PARAMETERS angstrom
-4.2647 -8.5794 -8.8942
11.0907 6.3706 -2.7093
2.2325 -4.2562 4.7424
! Mass density: 6.72 g cm⁻³
! Final energy: -5.1993 eV per atom
! SG: R3m (160)
! ΔE_f: 0.1303 eV per atom

---

! Ac5DyY | the Alexandria database | PBE-GGA | optimized geometry; values from VASP
&SYSTEM
  ibrav = 0, nat = 14, ntyp = 3
/
ATOMIC_SPECIES
Ac 227.00 Ac.upf
Dy 162.50 Dy.upf
Y 88.91 Y.upf
ATOMIC_POSITIONS angstrom
Ac 4.2714 -11.0674 -2.8927
Ac 1.5324 -7.7072 -1.2136
Ac 2.6058 -4.2385 -1.9079
Ac 0.9481 -11.4121 -0.8620
Ac 4.3928 -9.9513 0.7513
Ac -0.7888 -6.8054 -7.2710
Ac 2.6559 -5.3446 -5.6577
Ac 0.9982 -12.5182 -4.6118
Ac 2.0716 -9.0495 -5.3062
Ac -0.6674 -5.6894 -3.6271
Dy 4.2112 -12.1485 -6.4535
Dy -0.6072 -4.6082 -0.0663
Y 0.0000 0.0000 0.0000
Y 2.3647 -3.9491 1.9001
CELL_PARAMETERS angstrom
-3.8531 -5.2054 -1.5631
2.7278 -3.6531 -8.7568
4.7294 -7.8982 3.8002
! Mass density: 7.72 g cm⁻³
! Final energy: -4.2974 eV per atom
! SG: C2/c (15)
! ΔE_f: 0.2181 eV per atom

---

! Ac15DyY4 | the Alexandria database | PBE-GGA | optimized geometry; values from VASP
&SYSTEM
  ibrav = 0, nat = 20, ntyp = 3
/
ATOMIC_SPECIES
Ac 227.00 Ac.upf
Dy 162.50 Dy.upf
Y 88.91 Y.upf
ATOMIC_POSITIONS angstrom
Ac 2.7521 2.7521 0.0000
Ac 2.7521 2.7521 5.4717
Ac 2.7521 2.7521 10.9514
Ac 2.7521 2.7521 16.4233
Ac 2.7521 2.7521 21.9030
Ac 2.7521 0.0000 2.7315
Ac 2.7521 0.0000 8.2134
Ac 2.7521 0.0000 13.6873
Ac 2.7521 0.0000 19.1612
Ac 2.7521 0.0000 24.6432
Ac 0.0000 2.7521 2.7315
Ac 0.0000 2.7521 8.2134
Ac 0.0000 2.7521 13.6873
Ac 0.0000 2.7521 19.1612
Ac 0.0000 2.7521 24.6432
Dy 0.0000 0.0000 0.0000
Y 0.0000 0.0000 5.4768
Y 0.0000 0.0000 10.9507
Y 0.0000 0.0000 16.4240
Y 0.0000 0.0000 21.8979
CELL_PARAMETERS angstrom
5.5042 0.0000 0.0000
0.0000 5.5042 0.0000
0.0000 0.0000 27.3747
! Mass density: 7.86 g cm⁻³
! Final energy: -4.5768 eV per atom
! SG: P4/mmm (123)
! ΔE_f: 0.0274 eV per atom

---

! Ac4DyY2 | the Alexandria database | PBE-GGA | optimized geometry; values from VASP
&SYSTEM
  ibrav = 0, nat = 14, ntyp = 3
/
ATOMIC_SPECIES
Ac 227.00 Ac.upf
Dy 162.50 Dy.upf
Y 88.91 Y.upf
ATOMIC_POSITIONS angstrom
Ac 4.4313 3.1811 7.6674
Ac -0.6636 4.0505 1.2650
Ac -0.9683 7.1932 9.2782
Ac 5.7185 1.9244 2.8758
Ac 0.5823 3.1607 7.6054
Ac 3.0937 4.2976 1.3418
Ac 2.4808 6.4019 7.7443
Ac 1.5253 0.8845 1.2031
Dy 0.9766 5.3390 4.4349
Dy 3.0845 2.4559 -1.9675
Y 2.5741 2.0986 4.6442
Y 0.7094 5.5293 -1.9137
Y 4.8564 5.1537 4.4886
Y 0.9765 4.7160 11.0467
CELL_PARAMETERS angstrom
7.0675 -0.3440 -1.6219
-4.3319 5.5948 -1.6220
1.4629 2.8078 12.8048
! Mass density: 7.49 g cm⁻³
! Final energy: -4.7365 eV per atom
! SG: Cc (9)
! ΔE_f: 0.1155 eV per atom

---

! AcDy4Y2 | the Alexandria database | PBE-GGA | optimized geometry; values from VASP
&SYSTEM
  ibrav = 0, nat = 14, ntyp = 3
/
ATOMIC_SPECIES
Ac 227.00 Ac.upf
Dy 162.50 Dy.upf
Y 88.91 Y.upf
ATOMIC_POSITIONS angstrom
Ac -0.6048 4.9901 1.5060
Ac 6.8425 0.4503 6.2644
Dy 4.1884 1.2657 3.7934
Dy 2.0967 4.2780 4.1562
Dy 1.6334 1.9128 1.4371
Dy 5.0222 2.3334 0.5268
Dy -1.3607 3.8697 5.1163
Dy 3.6326 6.8390 -2.7456
Dy 0.6648 3.2642 -1.5361
Dy 3.4023 0.1656 7.2512
Y 2.7997 5.3430 0.4181
Y 0.7606 0.9274 4.7216
Y 4.0564 3.6816 -2.4887
Y 0.1854 6.4103 -1.9104
CELL_PARAMETERS angstrom
6.8817 0.8142 -1.8570
-3.5643 7.3255 -3.1301
0.6033 -0.3529 8.9187
! Mass density: 7.42 g cm⁻³
! Final energy: -5.0120 eV per atom
! SG: P1 (1)
! ΔE_f: 0.0516 eV per atom

---

! AcDy2Y9 | the Alexandria database | PBE-GGA | optimized geometry; values from VASP
&SYSTEM
  ibrav = 0, nat = 12, ntyp = 3
/
ATOMIC_SPECIES
Ac 227.00 Ac.upf
Dy 162.50 Dy.upf
Y 88.91 Y.upf
ATOMIC_POSITIONS angstrom
Ac 0.0000 0.0000 0.0000
Dy -2.5580 3.4143 2.8754
Dy -5.0539 6.7456 5.6809
Y -3.0689 -0.9138 -1.6450
Y -5.6361 2.5127 1.2406
Y -8.1136 5.8196 4.0256
Y -2.5678 2.5767 -0.5799
Y -5.0499 5.8896 2.2101
Y -7.5320 9.2025 5.0002
Y -3.1488 0.0435 1.9111
Y -5.6309 3.3565 4.7011
Y -8.1130 6.6694 7.4912
CELL_PARAMETERS angstrom
-2.4879 1.6193 -4.1360
-3.6499 -3.4470 0.8459
-7.6119 10.1599 8.5563
! Mass density: 5.66 g cm⁻³
! Final energy: -5.9202 eV per atom
! SG: P4/mmm (123)
! ΔE_f: 0.0372 eV per atom

---

! AcDy2Y4 | the Alexandria database | PBE-GGA | optimized geometry; values from VASP
&SYSTEM
  ibrav = 0, nat = 14, ntyp = 3
/
ATOMIC_SPECIES
Ac 227.00 Ac.upf
Dy 162.50 Dy.upf
Y 88.91 Y.upf
ATOMIC_POSITIONS angstrom
Ac 0.0361 -2.8910 4.3976
Ac -8.7901 1.4300 2.6819
Dy -2.6609 -4.6653 2.7942
Dy -2.5899 1.7691 3.7435
Dy -2.6872 -5.3424 -0.7154
Dy 0.6735 -6.1482 2.6002
Y -5.3722 0.1049 2.2420
Y -3.5366 -1.5251 5.0391
Y -2.0584 -1.0927 1.7448
Y -4.7965 -2.8401 0.3249
Y -0.7630 0.2530 6.5216
Y -2.1469 -7.8429 1.2134
Y 0.0463 -3.6113 0.7478
Y -6.0576 3.1387 4.2728
CELL_PARAMETERS angstrom
-5.5703 -3.4897 -2.9153
4.6206 -6.5836 3.4279
-4.1365 5.2143 6.0053
! Mass density: 6.34 g cm⁻³
! Final energy: -5.5480 eV per atom
! SG: P1 (1)
! ΔE_f: 0.0475 eV per atom

---

! Ac2Dy5Y | the Alexandria database | PBE-GGA | optimized geometry; values from VASP
&SYSTEM
  ibrav = 0, nat = 8, ntyp = 3
/
ATOMIC_SPECIES
Ac 227.00 Ac.upf
Dy 162.50 Dy.upf
Y 88.91 Y.upf
ATOMIC_POSITIONS angstrom
Ac 1.0234 -2.1474 5.8168
Ac 1.3062 1.3665 4.6982
Dy -0.2870 -3.5184 1.1032
Dy 3.6341 0.0543 7.3185
Dy 0.0723 0.6052 8.1486
Dy -1.3045 -0.8352 3.1964
Dy 2.2573 -1.3861 2.3664
Y 0.0000 0.0000 0.0000
CELL_PARAMETERS angstrom
-3.8489 -2.9676 1.9332
3.2748 -4.0693 0.2732
2.9037 6.2560 8.3085
! Mass density: 8.11 g cm⁻³
! Final energy: -4.6524 eV per atom
! SG: I4/mmm (139)
! ΔE_f: 0.0591 eV per atom

---

! Ac7DyY4 | the Alexandria database | PBE-GGA | optimized geometry; values from VASP
&SYSTEM
  ibrav = 0, nat = 12, ntyp = 3
/
ATOMIC_SPECIES
Ac 227.00 Ac.upf
Dy 162.50 Dy.upf
Y 88.91 Y.upf
ATOMIC_POSITIONS angstrom
Ac 5.4670 1.6697 3.3991
Ac 5.1004 0.1779 13.4007
Ac 2.7649 -0.0213 8.5806
Ac 7.8025 1.8690 8.2192
Ac 4.8501 2.5772 10.5145
Ac 3.4173 -0.9703 1.4409
Ac 5.7173 -0.7295 6.2853
Dy 0.0000 0.0000 0.0000
Y 4.3548 2.9040 6.7525
Y 6.2125 -1.0563 10.0473
Y 8.2935 1.6246 11.9006
Y 2.2739 0.2231 4.8992
CELL_PARAMETERS angstrom
6.8346 -1.9406 2.8818
0.7503 6.2025 2.3599
2.9825 -2.4143 11.5581
! Mass density: 7.39 g cm⁻³
! Final energy: -4.8881 eV per atom
! SG: P-1 (2)
! ΔE_f: 0.0467 eV per atom

---

! Ac2DyY5 | the Alexandria database | PBE-GGA | optimized geometry; values from VASP
&SYSTEM
  ibrav = 0, nat = 8, ntyp = 3
/
ATOMIC_SPECIES
Ac 227.00 Ac.upf
Dy 162.50 Dy.upf
Y 88.91 Y.upf
ATOMIC_POSITIONS angstrom
Ac 3.4297 3.5612 3.8808
Ac 0.9496 0.9861 4.8971
Dy 0.0000 0.0000 0.0000
Y 2.4831 2.5783 -1.0007
Y 1.3502 4.0810 6.9626
Y 4.0273 1.5027 6.9626
Y 3.0292 0.4663 1.8153
Y 0.3520 3.0446 1.8153
CELL_PARAMETERS angstrom
5.1603 0.0000 -1.0007
-0.1941 5.1566 -1.0007
-0.5868 -0.6093 10.7793
! Mass density: 6.28 g cm⁻³
! Final energy: -5.5870 eV per atom
! SG: I4/mmm (139)
! ΔE_f: 0.0554 eV per atom

---

! AcDy4Y15 | the Alexandria database | PBE-GGA | optimized geometry; values from VASP
&SYSTEM
  ibrav = 0, nat = 20, ntyp = 3
/
ATOMIC_SPECIES
Ac 227.00 Ac.upf
Dy 162.50 Dy.upf
Y 88.91 Y.upf
ATOMIC_POSITIONS angstrom
Ac 0.0000 0.0000 0.0000
Dy 4.0353 -3.2020 0.1932
Dy 7.9697 -6.3241 0.3816
Dy 11.8929 -9.4371 0.5694
Dy 15.8273 -12.5592 0.7578
Y -1.8708 -2.4668 -1.8097
Y 2.1838 -5.6841 -1.6156
Y 6.0985 -8.7905 -1.4281
Y 10.0226 -11.9043 -1.2403
Y 13.9373 -15.0106 -1.0529
Y 0.5461 -3.5649 0.7417
Y 4.4649 -6.6744 0.9293
Y 8.3877 -9.7872 1.1171
Y 12.3105 -12.9000 1.3049
Y 16.2292 -16.0096 1.4926
Y 1.7627 -2.2184 -2.3513
Y 5.6814 -5.3279 -2.1637
Y 9.6042 -8.4407 -1.9759
Y 13.5270 -11.5535 -1.7880
Y 17.4458 -14.6631 -1.6004
CELL_PARAMETERS angstrom
-3.0873 -3.8133 1.2833
-0.6542 -1.1203 -4.9027
19.8626 -15.7612 0.9510
! Mass density: 5.62 g cm⁻³
! Final energy: -5.9426 eV per atom
! SG: P4/mmm (123)
! ΔE_f: 0.0313 eV per atom